# 1
A plane-wave DFT calculation with PBE-GGA was carried out for a relaxed Li2Tm3Al4 crystal.

Properties
M_tot in μB per cell: 0.0
Uncorrected energy in eV per cell: -35.010
Theoretical density in g/cm3: 5.5
ΔE_f in eV/f.u.: -2.8

The structure in CIF format:
```
data_Li2Tm3Al4
_chemical_formula_sum 'Li2 Tm3 Al4'
_cell_length_a 4.6414
_cell_length_b 5.7516
_cell_length_c 8.7498
_cell_angle_alpha 115.67
_cell_angle_beta 90.00
_cell_angle_gamma 113.80
_symmetry_space_group_name_H-M 'P 1'
_symmetry_Int_Tables_number 1
_symmetry_space_group_name_Hall 'P 1'
loop_
_atom_site_label
_atom_site_fract_x
_atom_site_fract_y
_atom_site_fract_z
_atom_site_occupancy
Al1 0.7393 0.4785 0.0737 1
Tm1 0.6712 0.3423 0.6587 1
Li1 0.6009 0.2017 0.2698 1
Tm2 0.3288 0.6577 0.3413 1
Al2 0.9636 0.9271 0.6268 1
Al3 0.2607 0.5215 0.9263 1
Li2 0.3991 0.7983 0.7302 1
Al4 0.0364 0.0729 0.3732 1
Tm3 0.0000 0.0000 0.0000 1
```

# 2
A plane-wave DFT calculation with PBE-GGA was carried out for a relaxed SrAg2Rh crystal.

Properties
Polymorph energy (0 for the lowest one) in kJ/mol of atoms: 0.0
M_tot in μB per cell: 0.0
Uncorrected energy in eV per cell: -15.042
Theoretical density in g/cm3: 7.0
ΔE_f in eV/f.u.: -0.3

The structure in CIF format:
```
data_SrAg2Rh
_chemical_formula_sum 'Sr1 Ag2 Rh1'
_cell_length_a 4.6708
_cell_length_b 4.6708
_cell_length_c 5.7990
_cell_angle_alpha 65.87
_cell_angle_beta 65.87
_cell_angle_gamma 60.05
_symmetry_space_group_name_H-M 'P 1'
_symmetry_Int_Tables_number 1
_symmetry_space_group_name_Hall 'P 1'
loop_
_atom_site_label
_atom_site_fract_x
_atom_site_fract_y
_atom_site_fract_z
_atom_site_occupancy
Ag1 0.0476 0.0476 0.8561 1
Ag2 0.7647 0.7647 0.7060 1
Rh1 0.4397 0.4397 0.6809 1
Sr1 0.2479 0.2479 0.2570 1
```

# 3
A plane-wave DFT calculation with PBE-GGA was carried out for a relaxed CeMg5Cd7 crystal.

Properties
M_tot in μB per cell: 1.0
Uncorrected energy in eV per cell: -22.092
Theoretical density in g/cm3: 5.9
ΔE_f in eV/f.u.: -1.8

The structure in CIF format:
```
data_CeMg5Cd7
_chemical_formula_sum 'Ce1 Mg5 Cd7'
_cell_length_a 6.0080
_cell_length_b 7.6255
_cell_length_c 7.6255
_cell_angle_alpha 81.62
_cell_angle_beta 66.80
_cell_angle_gamma 66.80
_symmetry_space_group_name_H-M 'P 1'
_symmetry_Int_Tables_number 1
_symmetry_space_group_name_Hall 'P 1'
loop_
_atom_site_label
_atom_site_fract_x
_atom_site_fract_y
_atom_site_fract_z
_atom_site_occupancy
Cd1 0.5037 0.2073 0.7854 1
Mg1 0.4988 0.4961 0.0031 1
Cd2 0.9975 0.3506 0.6544 1
Ce1 0.9989 0.0011 0.0011 1
Cd3 0.3421 0.6579 0.6579 1
Cd4 0.9975 0.6544 0.3506 1
Cd5 0.2857 0.2143 0.2143 1
Cd6 0.5037 0.7854 0.2073 1
Mg2 0.0020 0.0031 0.4961 1
Cd7 0.6491 0.3509 0.3509 1
Mg3 0.7203 0.7797 0.7797 1
Mg4 0.0020 0.4961 0.0031 1
Mg5 0.4988 0.0031 0.4961 1
```

# 4
A plane-wave DFT calculation with PBE-GGA was carried out for a relaxed LaMg2Zn2Ir crystal.

Properties
M_tot in μB per cell: 0.0
Uncorrected energy in eV per cell: -20.175
Theoretical density in g/cm3: 5.7
ΔE_f in eV/f.u.: -0.6

The structure in CIF format:
```
data_LaMg2Zn2Ir
_chemical_formula_sum 'La1 Mg2 Zn2 Ir1'
_cell_length_a 4.1007
_cell_length_b 4.1007
_cell_length_c 9.3428
_cell_angle_alpha 102.68
_cell_angle_beta 102.68
_cell_angle_gamma 90.00
_symmetry_space_group_name_H-M 'P 1'
_symmetry_Int_Tables_number 1
_symmetry_space_group_name_Hall 'P 1'
loop_
_atom_site_label
_atom_site_fract_x
_atom_site_fract_y
_atom_site_fract_z
_atom_site_occupancy
Zn1 0.1382 0.1382 0.2763 1
Mg1 0.2500 0.7500 0.5000 1
Ir1 0.0000 0.0000 0.0000 1
Zn2 0.8618 0.8618 0.7237 1
La1 0.5000 0.5000 0.0000 1
Mg2 0.7500 0.2500 0.5000 1
```

# 5
A plane-wave DFT calculation with PBE-GGA was carried out for a relaxed Tm3SbPd crystal.

Properties
M_tot in μB per cell: 0.0
Uncorrected energy in eV per cell: -52.141
Uncorrected formation energy in meV per atom: -668
Theoretical density in g/cm3: 9.3

The structure in CIF format:
```
data_Tm3SbPd
_chemical_formula_sum 'Tm6 Sb2 Pd2'
_cell_length_a 5.1679
_cell_length_b 6.5830
_cell_length_c 9.6224
_cell_angle_alpha 116.31
_cell_angle_beta 90.00
_cell_angle_gamma 113.11
_symmetry_space_group_name_H-M 'P 1'
_symmetry_Int_Tables_number 1
_symmetry_space_group_name_Hall 'P 1'
loop_
_atom_site_label
_atom_site_fract_x
_atom_site_fract_y
_atom_site_fract_z
_atom_site_occupancy
Sb1 0.5998 0.1997 0.4345 1
Tm1 0.8696 0.7392 0.7164 1
Tm2 0.6211 0.2422 0.9243 1
Tm3 0.3789 0.7578 0.0757 1
Tm4 0.8577 0.7154 0.3238 1
Tm5 0.1304 0.2608 0.2836 1
Pd1 0.8804 0.7608 0.0158 1
Tm6 0.1423 0.2846 0.6762 1
Sb2 0.4002 0.8003 0.5655 1
Pd2 0.1196 0.2392 0.9842 1
```

# 6
A plane-wave DFT calculation with PBE-GGA was carried out for a relaxed Pm4Hg3Pb crystal.

Properties
Polymorph energy (0 for the lowest one) in kJ/mol of atoms: 4.1
M_tot in μB per cell: 0.0
Uncorrected energy in eV per cell: -27.227
Theoretical density in g/cm3: 9.8
ΔE_f in eV/f.u.: -3.6

The structure in CIF format:
```
data_Pm4Hg3Pb
_chemical_formula_sum 'Pm4 Hg3 Pb1'
_cell_length_a 4.1472
_cell_length_b 4.7956
_cell_length_c 11.8721
_cell_angle_alpha 90.00
_cell_angle_beta 90.00
_cell_angle_gamma 90.00
_symmetry_space_group_name_H-M 'P 1'
_symmetry_Int_Tables_number 1
_symmetry_space_group_name_Hall 'P 1'
loop_
_atom_site_label
_atom_site_fract_x
_atom_site_fract_y
_atom_site_fract_z
_atom_site_occupancy
Pm1 0.0000 0.5000 0.8543 1
Hg1 0.0000 0.5000 0.5861 1
Pm2 0.5000 0.5000 0.3652 1
Pm3 0.5000 0.0000 0.6404 1
Hg2 0.0000 0.0000 0.4137 1
Pb1 0.5000 0.5000 0.0879 1
Hg3 0.5000 0.0000 0.9085 1
Pm4 0.0000 0.0000 0.1439 1
```

# 7
A plane-wave DFT calculation with PBE-GGA was carried out for a relaxed TbGa2Ni2Pt crystal.

Properties
M_tot in μB per cell: 0.0
Uncorrected energy in eV per cell: -29.078
Theoretical density in g/cm3: 8.6
ΔE_f in eV/f.u.: -0.8

The structure in CIF format:
```
data_TbGa2Ni2Pt
_chemical_formula_sum 'Tb1 Ga2 Ni2 Pt1'
_cell_length_a 4.6870
_cell_length_b 4.6870
_cell_length_c 5.3418
_cell_angle_alpha 90.00
_cell_angle_beta 90.00
_cell_angle_gamma 90.00
_symmetry_space_group_name_H-M 'P 1'
_symmetry_Int_Tables_number 1
_symmetry_space_group_name_Hall 'P 1'
loop_
_atom_site_label
_atom_site_fract_x
_atom_site_fract_y
_atom_site_fract_z
_atom_site_occupancy
Ni1 0.5000 0.5000 0.2609 1
Ga1 0.0000 0.5000 0.0000 1
Tb1 0.0000 0.0000 0.5000 1
Ni2 0.5000 0.5000 0.7391 1
Ga2 0.5000 0.0000 0.0000 1
Pt1 0.0000 0.0000 0.0000 1
```

# 8
A plane-wave DFT calculation with PBE-GGA was carried out for a relaxed CaH3Ir crystal.

Properties
M_tot in μB per cell: 0.0
Uncorrected energy in eV per cell: -40.382
Theoretical density in g/cm3: 7.0

The structure in CIF format:
```
data_CaH3Ir
_chemical_formula_sum 'Ca2 H6 Ir2'
_cell_length_a 3.6781
_cell_length_b 3.6781
_cell_length_c 8.6791
_cell_angle_alpha 77.77
_cell_angle_beta 77.77
_cell_angle_gamma 90.00
_symmetry_space_group_name_H-M 'P 1'
_symmetry_Int_Tables_number 1
_symmetry_space_group_name_Hall 'P 1'
loop_
_atom_site_label
_atom_site_fract_x
_atom_site_fract_y
_atom_site_fract_z
_atom_site_occupancy
Ca1 0.2500 0.7500 0.5000 1
H1 0.5126 0.9039 0.1922 1
Ca2 0.0000 0.0000 0.0000 1
H2 0.6564 0.6564 0.6872 1
H3 0.2952 0.9039 0.1922 1
H4 0.0961 0.7048 0.8078 1
Ir1 0.8486 0.3486 0.3027 1
H5 0.0961 0.4874 0.8078 1
H6 0.3436 0.3436 0.3128 1
Ir2 0.6514 0.1514 0.6973 1
```

# 9
A plane-wave DFT calculation with PBE-GGA was carried out for a relaxed Tc3SbW crystal.

Properties
Polymorph energy (0 for the lowest one) in kJ/mol of atoms: 62.1
M_tot in μB per cell: 0.0
Uncorrected energy in eV per cell: -36.999
Uncorrected formation energy in meV per atom: 2235
Theoretical density in g/cm3: 9.6

The structure in CIF format:
```
data_Tc3SbW
_chemical_formula_sum 'Tc3 Sb1 W1'
_cell_length_a 4.6948
_cell_length_b 4.6948
_cell_length_c 4.6948
_cell_angle_alpha 90.00
_cell_angle_beta 90.00
_cell_angle_gamma 90.00
_symmetry_space_group_name_H-M 'P 1'
_symmetry_Int_Tables_number 1
_symmetry_space_group_name_Hall 'P 1'
loop_
_atom_site_label
_atom_site_fract_x
_atom_site_fract_y
_atom_site_fract_z
_atom_site_occupancy
W1 0.5000 0.5000 0.5000 1
Tc1 0.0000 0.0000 0.5000 1
Tc2 0.0000 0.5000 0.0000 1
Tc3 0.5000 0.0000 0.0000 1
Sb1 0.0000 0.0000 0.0000 1
```

# 10
A plane-wave DFT calculation with PBE-GGA was carried out for a relaxed RbPuO3 crystal.

Properties
M_tot in μB per cell: 3.0
Uncorrected energy in eV per cell: -42.885
Uncorrected formation energy in meV per atom: -2542
Theoretical density in g/cm3: 7.8

The structure in CIF format:
```
data_RbPuO3
_chemical_formula_sum 'Rb1 Pu1 O3'
_cell_length_a 4.3163
_cell_length_b 4.3163
_cell_length_c 4.3163
_cell_angle_alpha 90.00
_cell_angle_beta 90.00
_cell_angle_gamma 90.00
_symmetry_space_group_name_H-M 'P 1'
_symmetry_Int_Tables_number 1
_symmetry_space_group_name_Hall 'P 1'
loop_
_atom_site_label
_atom_site_fract_x
_atom_site_fract_y
_atom_site_fract_z
_atom_site_occupancy
O1 0.5000 0.0000 0.5000 1
Rb1 0.0000 0.0000 0.0000 1
O2 0.0000 0.5000 0.5000 1
Pu1 0.5000 0.5000 0.5000 1
O3 0.5000 0.5000 0.0000 1
```

# 11
A plane-wave DFT calculation with PBE-GGA was carried out for a relaxed YMnRe2 crystal.

Properties
Polymorph energy (0 for the lowest one) in kJ/mol of atoms: 24.6
M_tot in μB per cell: 1.9
Uncorrected energy in eV per cell: -38.749
Theoretical density in g/cm3: 12.9
ΔE_f in eV/f.u.: 1.8

The structure in CIF format:
```
data_YMnRe2
_chemical_formula_sum 'Y1 Mn1 Re2'
_cell_length_a 4.6561
_cell_length_b 2.8108
_cell_length_c 5.1334
_cell_angle_alpha 81.70
_cell_angle_beta 90.00
_cell_angle_gamma 90.00
_symmetry_space_group_name_H-M 'P 1'
_symmetry_Int_Tables_number 1
_symmetry_space_group_name_Hall 'P 1'
loop_
_atom_site_label
_atom_site_fract_x
_atom_site_fract_y
_atom_site_fract_z
_atom_site_occupancy
Mn1 0.5000 0.7500 0.7500 1
Re1 0.0000 0.9709 0.9894 1
Re2 0.0000 0.5291 0.5106 1
Y1 0.5000 0.2500 0.2500 1
```

# 12
A plane-wave DFT calculation with PBE-GGA was carried out for a relaxed NbSb2TeP crystal.

Properties
Polymorph energy (0 for the lowest one) in kJ/mol of atoms: 0.0
M_tot in μB per cell: 1.4
Uncorrected energy in eV per cell: -23.142
Uncorrected formation energy in meV per atom: 745
Theoretical density in g/cm3: 5.4

The structure in CIF format:
```
data_NbSb2TeP
_chemical_formula_sum 'Nb1 Sb2 Te1 P1'
_cell_length_a 5.3940
_cell_length_b 5.3940
_cell_length_c 5.2698
_cell_angle_alpha 90.00
_cell_angle_beta 90.00
_cell_angle_gamma 90.00
_symmetry_space_group_name_H-M 'P 1'
_symmetry_Int_Tables_number 1
_symmetry_space_group_name_Hall 'P 1'
loop_
_atom_site_label
_atom_site_fract_x
_atom_site_fract_y
_atom_site_fract_z
_atom_site_occupancy
Sb1 0.0000 0.5000 0.0000 1
Te1 0.0000 0.0000 0.5000 1
Sb2 0.5000 0.0000 0.0000 1
P1 0.5000 0.5000 0.5000 1
Nb1 0.0000 0.0000 0.0000 1
```